Entry 1:
Here is a relaxed ZnAsRhBr2 crystal from Alexandria via LeMat-Bulk. Energies are from PBE-GGA.

Summary:
- total magnetization (Bohr magnetons per cell) = 1.20
- Fermi-level density of states (states/eV/cell) = 8.54
- E above lowest polymorph (kJ/mol of atoms) = 55.1
- SG = P4/mmm, No. 123
- formation energy (no corrections) (eV per atom) = 0.78

POSCAR file:
```
ZnAsRhBr2
1.0
5.052 0.000 0.000
0.000 5.052 0.000
0.000 0.000 4.897
Rh Zn As Br
1 1 1 2
direct
0.500 0.500 0.500
0.000 0.000 0.000
0.000 0.000 0.500
0.000 0.500 0.000
0.500 0.000 0.000
```

Entry 2:
Here is a relaxed Ti6SiRh12 crystal from Alexandria via LeMat-Bulk. Energies are from PBE-GGA.

Summary:
- total magnetization (Bohr magnetons per cell) = 0.00
- Fermi-level density of states (states/eV/cell) = 16.03
- SG = R-3, No. 148
- formation energy (no corrections) (eV per atom) = -0.60

POSCAR file:
```
Ti6SiRh12
1.0
-6.447 2.965 -1.452
-0.775 -6.763 2.473
3.697 4.061 4.723
Si Rh Ti
1 12 6
direct
0.000 0.000 0.000
0.796 0.679 0.527
0.321 0.473 0.204
0.267 0.900 0.836
0.473 0.204 0.321
0.836 0.267 0.900
0.100 0.164 0.733
0.527 0.796 0.679
0.900 0.836 0.267
0.679 0.527 0.796
0.204 0.321 0.473
0.164 0.733 0.100
0.733 0.100 0.164
0.086 0.590 0.373
0.410 0.627 0.914
0.373 0.086 0.590
0.914 0.410 0.627
0.590 0.373 0.086
0.627 0.914 0.410
```

Entry 3:
Here is a relaxed AlRe2Tc crystal from Alexandria via LeMat-Bulk. Energies are from PBE-GGA.

Summary:
- total magnetization (Bohr magnetons per cell) = 0.00
- Fermi-level density of states (states/eV/cell) = 2.86
- SG = R-3m, No. 166
- formation energy from the elements (eV/atom) = -0.048

POSCAR file:
```
AlRe2Tc
1.0
9.012 0.003 0.002
8.583 2.747 0.002
8.583 1.342 2.397
Al Tc Re
1 1 2
direct
0.750 0.750 0.750
0.250 0.250 0.250
0.501 0.501 0.501
0.999 0.999 0.999
```